Entry 1:
# Ho2CuSi3Pt4, optimized geometry, DFT PBE
data_Ho2CuSi3Pt4
_chemical_formula_sum 'Ho2 Cu1 Si3 Pt4'
_space_group_name_H-M_alt 'P -4 m 2'
_space_group_IT_number 115
_cell_length_a 4.1809
_cell_length_b 4.1809
_cell_length_c 9.9579
_cell_angle_alpha 90.00
_cell_angle_beta 90.00
_cell_angle_gamma 90.00
loop_
_space_group_symop_operation_xyz
'x,y,z'
'y,-x,-z'
'-x,-y,z'
'-y,x,-z'
'-x,y,z'
'-y,-x,-z'
'x,-y,z'
'y,x,-z'
loop_
_atom_site_label
_atom_site_type_symbol
_atom_site_fract_x
_atom_site_fract_y
_atom_site_fract_z
Ho1 Ho 0.0000 0.5000 0.2408
Cu1 Cu 0.5000 0.5000 0.0000
Si1 Si 0.0000 0.0000 0.0000
Si2 Si 0.0000 0.5000 0.6325
Pt1 Pt 0.0000 0.0000 0.5000
Pt2 Pt 0.0000 0.5000 0.8655
Pt3 Pt 0.5000 0.5000 0.5000
# - formation energy (no corrections) (kJ per mole of atoms) = -96.1
# - DOS at the Fermi energy (states/eV/cell) = 4.88
# - magnetic moment (Bohr magnetons per cell) = 0.00

Entry 2:
# Rb2CBr7, optimized geometry, DFT PBE
data_Rb2CBr7
_chemical_formula_sum 'Rb4 C2 Br14'
_space_group_name_H-M_alt 'I 4/m m m'
_space_group_IT_number 139
_space_group_name_Hall '-I 4 2'
_cell_length_a 7.6477
_cell_length_b 7.6477
_cell_length_c 10.4096
_cell_angle_alpha 90.00
_cell_angle_beta 90.00
_cell_angle_gamma 90.00
loop_
_atom_site_label
_atom_site_type_symbol
_atom_site_fract_x
_atom_site_fract_y
_atom_site_fract_z
Rb1 Rb 0.0000 0.5000 0.2500
C1 C 0.0000 0.0000 0.0000
Br1 Br 0.0000 0.0000 0.2278
Br2 Br 0.0000 0.0000 0.5000
Br3 Br 0.2192 0.2192 0.0000
# - formation energy (no corrections) (kJ per mole of atoms) = -19.0
# - DOS at the Fermi energy (states/eV/cell) = 9.21
# - magnetic moment (Bohr magnetons per cell) = 0.01

Entry 3:
# Sm3ZrPa3N8, optimized geometry, DFT PBE
data_Sm3ZrPa3N8
_chemical_formula_sum 'Sm9 Zr3 Pa9 N24'
_space_group_name_H-M_alt 'R -3 m'
_space_group_IT_number 166
_space_group_name_Hall '-R 3 2"'
_cell_length_a 6.9704
_cell_length_b 6.9704
_cell_length_c 17.1696
_cell_angle_alpha 90.00
_cell_angle_beta 90.00
_cell_angle_gamma 120.00
loop_
_atom_site_label
_atom_site_type_symbol
_atom_site_fract_x
_atom_site_fract_y
_atom_site_fract_z
Sm1 Sm 0.0000 0.5000 0.0000
Zr1 Zr 0.0000 0.0000 0.5000
Pa1 Pa 0.0000 0.5000 0.5000
N1 N 0.0000 0.0000 0.2422
N2 N 0.0121 0.5061 0.2351
# - formation energy (no corrections) (kJ per mole of atoms) = -147.0
# - DOS at the Fermi energy (states/eV/cell) = 17.69
# - magnetic moment (Bohr magnetons per cell) = 0.00

Entry 4:
# ThMoH3, optimized geometry, DFT PBE
data_ThMoH3
_chemical_formula_sum 'Th1 Mo1 H3'
_space_group_name_H-M_alt 'P m -3 m'
_space_group_IT_number 221
_space_group_name_Hall '-P 4 2 3'
_cell_length_a 3.8043
_cell_length_b 3.8043
_cell_length_c 3.8043
_cell_angle_alpha 90.00
_cell_angle_beta 90.00
_cell_angle_gamma 90.00
loop_
_atom_site_label
_atom_site_type_symbol
_atom_site_fract_x
_atom_site_fract_y
_atom_site_fract_z
Th1 Th 0.0000 0.0000 0.0000
Mo1 Mo 0.5000 0.5000 0.5000
H1 H 0.0000 0.5000 0.5000
# - DOS at the Fermi energy (states/eV/cell) = 2.70
# - energy (eV per atom) = -5.84
# - magnetic moment (Bohr magnetons per cell) = 0.27

Entry 5:
# YSiIr, optimized geometry, DFT PBE
data_YSiIr
_chemical_formula_sum 'Y4 Si4 Ir4'
_space_group_name_H-M_alt 'I 4/m m m'
_space_group_IT_number 139
_space_group_name_Hall '-I 4 2'
_cell_length_a 4.0876
_cell_length_b 4.0876
_cell_length_c 13.7342
_cell_angle_alpha 90.00
_cell_angle_beta 90.00
_cell_angle_gamma 90.00
loop_
_atom_site_label
_atom_site_type_symbol
_atom_site_fract_x
_atom_site_fract_y
_atom_site_fract_z
Y1 Y 0.0000 0.0000 0.1602
Si1 Si 0.0000 0.0000 0.3926
Ir1 Ir 0.0000 0.5000 0.0000
# - formation energy (no corrections) (kJ per mole of atoms) = -92.8
# - DOS at the Fermi energy (states/eV/cell) = 9.83
# - magnetic moment (Bohr magnetons per cell) = 0.00

Entry 6:
# ZnCu4Au, optimized geometry, DFT PBE
data_ZnCu4Au
_chemical_formula_sum 'Zn2 Cu8 Au2'
_space_group_name_H-M_alt 'C 1 2/m 1'
_space_group_IT_number 12
_cell_length_a 4.2428
_cell_length_b 7.2908
_cell_length_c 5.2335
_cell_angle_alpha 90.00
_cell_angle_beta 90.41
_cell_angle_gamma 90.00
loop_
_space_group_symop_operation_xyz
'x,y,z'
'-x,-y,-z'
'-x,y,-z'
'x,-y,z'
'x+1/2,y+1/2,z'
'-x+1/2,-y+1/2,-z'
'-x+1/2,y+1/2,-z'
'x+1/2,-y+1/2,z'
loop_
_atom_site_label
_atom_site_type_symbol
_atom_site_fract_x
_atom_site_fract_y
_atom_site_fract_z
Zn1 Zn 0.0000 0.0000 0.0000
Cu1 Cu 0.0011 0.3326 0.7558
Au1 Au 0.0000 0.0000 0.5000
# - DOS at the Fermi energy (states/eV/cell) = 2.40
# - magnetic moment (Bohr magnetons per cell) = 0.00
# - formation energy from the elements (eV/f.u.) = -0.167
# - energy relative to the lowest polymorph listed for this composition (meV/atom) = 40

Entry 7:
# Ce2ZnGa3Ni12, optimized geometry, DFT PBE
data_Ce2ZnGa3Ni12
_chemical_formula_sum 'Ce6 Zn3 Ga9 Ni36'
_space_group_name_H-M_alt 'R -3 m'
_space_group_IT_number 166
_space_group_name_Hall '-R 3 2"'
_cell_length_a 8.3904
_cell_length_b 8.3904
_cell_length_c 12.2970
_cell_angle_alpha 90.00
_cell_angle_beta 90.00
_cell_angle_gamma 120.00
loop_
_atom_site_label
_atom_site_type_symbol
_atom_site_fract_x
_atom_site_fract_y
_atom_site_fract_z
Ce1 Ce 0.0000 0.0000 0.1468
Zn1 Zn 0.0000 0.0000 0.5000
Ga1 Ga 0.0000 0.5000 0.0000
Ni1 Ni 0.0009 0.5005 0.3950
Ni2 Ni 0.0071 0.5036 0.1993
# - DOS at the Fermi energy (states/eV/cell) = 38.41
# - magnetic moment (Bohr magnetons per cell) = 0.00
# - formation energy from the elements (eV/f.u.) = -3.399

Entry 8:
# YHgH, optimized geometry, DFT PBE
data_YHgH
_chemical_formula_sum 'Y2 Hg2 H2'
_space_group_name_H-M_alt 'P 1 21/m 1'
_space_group_IT_number 11
_cell_length_a 3.8147
_cell_length_b 4.3952
_cell_length_c 6.7009
_cell_angle_alpha 90.00
_cell_angle_beta 106.32
_cell_angle_gamma 90.00
loop_
_space_group_symop_operation_xyz
'x,y,z'
'-x,-y,-z'
'-x,y+1/2,-z'
'x,-y+1/2,z'
loop_
_atom_site_label
_atom_site_type_symbol
_atom_site_fract_x
_atom_site_fract_y
_atom_site_fract_z
Y1 Y 0.1686 0.2500 0.3359
Hg1 Hg 0.4273 0.2500 0.8608
H1 H 0.2444 0.7500 0.4873
# - DOS at the Fermi energy (states/eV/cell) = 2.40
# - magnetic moment (Bohr magnetons per cell) = 0.00
# - energy relative to the lowest polymorph listed for this composition (meV/atom) = 35